# CuTe2I

CuTe2I after structural relaxation (PBE, Alexandria).

Summary:
space group: R-3m (166)
magnetic moment: 0.0 μB per formula unit
electronic total energy: -35.31 eV/cell
formation energy (no corrections): 0.04 eV/atom

Lattice parameters (Å, degrees): 4.0830 4.0830 22.9609 90.00 90.00 120.00
Positions (direct):
Cu: 0.0000 0.0000 0.0000
Cu: 0.3333 0.6667 0.6667
Cu: 0.6667 0.3333 0.3333
Te: 0.0000 0.0000 0.2766
Te: 0.0000 0.0000 0.7234
Te: 0.3333 0.6667 0.3901
Te: 0.3333 0.6667 0.9433
Te: 0.6667 0.3333 0.0567
Te: 0.6667 0.3333 0.6099
I: 0.0000 0.0000 0.5000
I: 0.3333 0.6667 0.1667
I: 0.6667 0.3333 0.8333

# K2NbCr2S6

K2NbCr2S6 after structural relaxation (PBE, Alexandria).

Summary:
space group: C2/m (12)
magnetic moment: 5.0 μB per formula unit
electronic total energy: -66.74 eV/cell
formation energy (no corrections): -0.95 eV/atom

Lattice parameters (Å, degrees): 6.0868 6.0868 7.7945 97.15 97.15 120.17
Positions (direct):
K: 0.1635 0.8365 0.0000
K: 0.8365 0.1635 0.0000
Nb: 0.0000 0.0000 0.5000
Cr: 0.3332 0.6668 0.5000
Cr: 0.6668 0.3332 0.5000
S: 0.0600 0.4028 0.6824
S: 0.2883 0.2883 0.3167
S: 0.4028 0.0600 0.6824
S: 0.5972 0.9400 0.3176
S: 0.7117 0.7117 0.6833
S: 0.9400 0.5972 0.3176

# TaOsBr4

TaOsBr4 after structural relaxation (PBE, Alexandria).

Summary:
space group: F-43m (216)
magnetic moment: 0.8 μB per formula unit
electronic total energy: -17.82 eV/cell
formation energy (no corrections): 1.99 eV/atom

Lattice parameters (Å, degrees): 5.8797 5.8797 5.8797 60.00 60.00 60.00
Positions (direct):
Ta: 0.0000 0.0000 0.0000
Os: 0.2500 0.2500 0.2500
Br: 0.1252 0.6249 0.6249
Br: 0.6249 0.1252 0.6249
Br: 0.6249 0.6249 0.1252
Br: 0.6249 0.6249 0.6249

# AcNiS

AcNiS after structural relaxation (PBE, Alexandria).

Summary:
space group: C2/m (12)
magnetic moment: 0.0 μB per formula unit
electronic total energy: -68.84 eV/cell
polymorph energy (0 for the lowest one): 10 meV/atom
formation energy (no corrections): -1.06 eV/atom

Lattice parameters (Å, degrees): 6.2502 5.8527 8.0616 90.00 91.64 90.00
Positions (direct):
Ac: 0.2197 0.0000 0.2639
Ac: 0.2803 0.5000 0.7361
Ac: 0.7197 0.5000 0.2639
Ac: 0.7803 0.0000 0.7361
Ni: 0.1368 0.5000 0.0968
Ni: 0.3632 0.0000 0.9032
Ni: 0.6368 0.0000 0.0968
Ni: 0.8632 0.5000 0.9032
S: 0.2465 0.0000 0.6455
S: 0.2535 0.5000 0.3545
S: 0.7465 0.5000 0.6455
S: 0.7535 0.0000 0.3545

Q: Which value of electronic total energy does entry 2 give?
A: -66.74 eV/cell

Please write out number 2 again, unchanged.
# K2NbCr2S6

K2NbCr2S6 after structural relaxation (PBE, Alexandria).

Summary:
space group: C2/m (12)
magnetic moment: 5.0 μB per formula unit
electronic total energy: -66.74 eV/cell
formation energy (no corrections): -0.95 eV/atom

Lattice parameters (Å, degrees): 6.0868 6.0868 7.7945 97.15 97.15 120.17
Positions (direct):
K: 0.1635 0.8365 0.0000
K: 0.8365 0.1635 0.0000
Nb: 0.0000 0.0000 0.5000
Cr: 0.3332 0.6668 0.5000
Cr: 0.6668 0.3332 0.5000
S: 0.0600 0.4028 0.6824
S: 0.2883 0.2883 0.3167
S: 0.4028 0.0600 0.6824
S: 0.5972 0.9400 0.3176
S: 0.7117 0.7117 0.6833
S: 0.9400 0.5972 0.3176

Q: Which of these has the highest formation energy (no corrections)?
A: TaOsBr4